CdCoBr | PBE-GGA | relaxed

Cell and atoms, written as POSCAR:
```
CdCoBr
1.0
0.0000 3.1688 3.1688
3.1688 0.0000 3.1688
3.1688 3.1688 0.0000
Cd Co Br
1 1 1
Direct
0.0000 0.0000 0.0000
0.7500 0.7500 0.7500
0.5000 0.5000 0.5000
```

Values from the calculation:
**Total DFT energy (no corrections)**: -2.686 eV per atom
**ρ**: 6.556 g/cm3
**Raw formation energy**: 0.545 eV/atom
**Magnetization**: 0.41 μB per atom
**E above lowest polymorph**: 390.9 meV/atom